(A)
Cs2NaGe | PBE | optimized geometry

Computed properties:
M_tot   0.000 μB per atom

Cell: 12.490 7.443 9.950 Å, 90.00 112.75 90.00°
Space group P2_1/c (No. 14)
Symmetry-distinct sites (fractional):
Cs 0.187 0.249 0.086 [4 per cell]
Cs 0.234 0.745 0.357 [4 per cell]
Na 0.498 0.507 0.198 [4 per cell]
Ge 0.440 0.141 0.966 [4 per cell]

***

(B)
Cs2NaGe | PBE | optimized geometry

Computed properties:
M_tot   0.257 μB per atom

Cell: 9.211 9.211 9.211 Å, 90.00 90.00 90.00°
Space group Fm-3m (No. 225)
Symmetry-distinct sites (fractional):
Cs 0.250 0.250 0.250 [8 per cell]
Na 0.000 0.000 0.000 [4 per cell]
Ge 0.000 0.000 0.500 [4 per cell]

***

Which one sits at the bottom of the stability order? (B) does.

***

(A)
CsNa2GePt | PBE | optimized geometry

Computed properties:
M_tot   0.000 μB per atom

Cell: 5.734 5.734 4.759 Å, 90.00 90.00 90.00°
Space group P4/mmm (No. 123)
Symmetry-distinct sites (fractional):
Cs 0.000 0.000 0.000 [1 per cell]
Na 0.000 0.500 0.500 [2 per cell]
Ge 0.500 0.500 0.000 [1 per cell]
Pt 0.500 0.500 0.500 [1 per cell]

***

(B)
CsNa2GePt | PBE | optimized geometry

Computed properties:
M_tot   0.000 μB per atom

Cell: 5.731 5.731 4.783 Å, 90.00 90.00 90.00°
Space group P4/mmm (No. 123)
Symmetry-distinct sites (fractional):
Cs 0.000 0.000 0.000 [1 per cell]
Na 0.000 0.500 0.500 [2 per cell]
Ge 0.500 0.500 0.500 [1 per cell]
Pt 0.500 0.500 0.000 [1 per cell]

***

Which one sits at the bottom of the stability order? (B) does.

***

(A)
CsRbNa2Ge | PBE | optimized geometry

Computed properties:
M_tot   0.000 μB per atom

Cell: 6.082 6.082 6.892 Å, 90.00 90.00 90.00°
Space group P4/mmm (No. 123)
Symmetry-distinct sites (fractional):
Cs 0.000 0.000 0.000 [1 per cell]
Rb 0.500 0.500 0.000 [1 per cell]
Na 0.000 0.500 0.500 [2 per cell]
Ge 0.000 0.000 0.500 [1 per cell]

***

(B)
CsRbNa2Ge | PBE | optimized geometry

Computed properties:
M_tot   0.000 μB per atom

Cell: 6.036 6.036 6.801 Å, 90.00 90.00 90.00°
Space group P4/mmm (No. 123)
Symmetry-distinct sites (fractional):
Cs 0.000 0.000 0.000 [1 per cell]
Rb 0.500 0.500 0.000 [1 per cell]
Na 0.000 0.500 0.500 [2 per cell]
Ge 0.500 0.500 0.500 [1 per cell]

***

Which one sits at the bottom of the stability order? (A) does.